(1)
Density functional theory data (PBE) for a relaxed structure of Ba2U3CuO12.

```
18
Lattice="7.451 -0.309 -0.219 3.411 6.631 -0.219 3.411 1.986 6.331" Properties=species:S:1:pos:R:3 pbc="T T T"
O 8.719 7.955 5.642
O 3.050 4.655 0.250
O 7.429 4.324 -0.046
O 9.399 2.533 1.796
O 5.554 0.353 0.250
U 3.725 -0.154 -0.109
Cu 0.000 0.000 0.000
U 1.706 3.315 -0.109
O 6.844 6.922 1.796
O 7.429 1.386 4.096
Ba 4.727 2.751 1.952
O 11.223 6.533 1.582
O 3.050 1.775 4.311
O 4.874 5.775 4.096
Ba 9.546 5.556 3.941
O 11.223 3.653 5.642
U 1.706 0.993 3.165
O 6.844 3.984 5.939
```

Computed properties:
Raw formation energy ... -2.72 eV/atom
Spin magnetization ... 1.00 μB per formula unit
SG ... R-3m



(2)
Density functional theory data (PBE) for a relaxed structure of Pm3Dy5Er2.

```
20
Lattice="-7.843 5.305 0.084 -6.238 -3.087 -6.361 3.856 -5.902 8.587" Properties=species:S:1:pos:R:3 pbc="T T T"
Pm -5.984 3.825 0.237
Dy -6.476 -2.319 -0.769
Dy -0.924 -2.663 5.474
Er -6.943 -3.406 -3.994
Dy -2.920 -5.521 -0.187
Dy -9.301 -1.021 -3.164
Er -4.907 0.427 0.568
Er -5.318 -4.110 1.741
Dy -7.615 -1.634 2.468
Dy -5.006 -3.258 5.232
Dy -3.748 -1.364 3.079
Dy -5.218 -0.426 -2.922
Pm -7.731 0.943 -0.788
Pm -6.194 0.106 5.098
Er -3.281 -0.278 6.304
Pm -2.493 -4.627 3.097
Dy -7.305 1.838 2.497
Pm -4.240 -7.509 2.072
Pm -4.031 -3.790 -2.789
Dy -2.610 -2.049 -0.158
```

Computed properties:
Relative energy among the computed polymorphs ... 0.00 eV/f.u.
Spin magnetization ... 0.00 μB per formula unit
SG ... C2/c



(3)
Density functional theory data (PBE) for a relaxed structure of ErSc6In3.

```
20
Lattice="-7.876 0.312 -1.914 1.393 -4.505 -6.466 -1.465 -6.037 5.045" Properties=species:S:1:pos:R:3 pbc="T T T"
Sc -1.086 -3.347 -1.579
Sc -5.417 -5.500 1.262
Sc 0.057 -4.833 -3.968
In -6.552 -4.883 -3.264
Sc -5.887 -1.998 -3.920
Sc -5.421 -3.404 -0.936
Sc -2.958 -2.694 1.099
Er -8.424 -5.240 -0.518
Er -3.442 -4.836 -3.769
Sc -2.995 -8.196 0.358
In -3.069 -5.282 -0.478
Sc -1.110 -6.882 -2.056
Sc -5.445 -6.940 -1.412
In -3.423 -8.221 -3.045
In -3.379 -1.763 -2.175
Sc -4.109 -4.342 -7.400
Sc -5.924 -7.499 -4.662
In -7.824 -1.879 -1.092
In -7.868 -8.337 -1.962
Sc -2.841 -5.928 4.307
```

Computed properties:
Total energy ... -104.61 eV per cell
Spin magnetization ... 0.21 μB per formula unit
SG ... Cmc2_1



(4)
Density functional theory data (PBE) for a relaxed structure of ZrHg3H.

```
5
Lattice="-3.145 4.544 -1.421 -3.958 -1.550 3.806 2.645 3.084 4.006" Properties=species:S:1:pos:R:3 pbc="T T T"
Hg -1.573 2.272 -0.711
Hg -1.979 -0.775 1.903
H -2.229 3.039 3.196
Hg 1.322 1.542 2.003
Zr 0.000 0.000 0.000
```

Computed properties:
Relative energy among the computed polymorphs ... 2.87 eV/f.u.
Spin magnetization ... 0.65 μB per formula unit
SG ... Pm-3m



(5)
Density functional theory data (PBE) for a relaxed structure of InAgGe.

```
6
Lattice="-2.497 6.182 0.516 -2.832 -0.255 -1.505 -2.720 -1.852 5.131" Properties=species:S:1:pos:R:3 pbc="T T T"
Ag -5.817 3.306 4.810
Ag -4.372 3.886 1.954
Ge -2.993 0.219 0.044
In -4.315 -0.826 2.404
In -3.378 1.833 3.850
Ge -1.987 2.635 1.075
```

Computed properties:
Total energy ... -19.36 eV per cell
Spin magnetization ... 0.00 μB per formula unit
SG ... P1



(6)
Density functional theory data (PBE) for a relaxed structure of Si2HgBr.

```
4
Lattice="3.363 0.028 0.000 -1.593 2.962 0.000 0.000 0.000 8.729" Properties=species:S:1:pos:R:3 pbc="T T T"
Si 0.000 0.000 8.707
Si 0.000 0.000 4.387
Hg 0.885 1.495 6.547
Br 0.885 1.495 2.182
```

Computed properties:
Raw formation energy ... 0.60 eV/atom
Relative energy among the computed polymorphs ... 1.81 eV/f.u.
Spin magnetization ... 0.00 μB per formula unit
SG ... Cmmm



(7)
Density functional theory data (PBE) for a relaxed structure of Y2Tc2Sn.

```
10
Lattice="6.982 0.000 0.000 0.000 6.982 0.000 0.000 0.000 4.595" Properties=species:S:1:pos:R:3 pbc="T T T"
Sn 3.491 3.491 0.000
Tc 0.817 2.674 0.000
Tc 6.165 4.307 0.000
Tc 4.307 0.817 0.000
Y 1.237 4.728 2.297
Y 4.728 5.745 2.297
Tc 2.674 6.165 0.000
Y 2.254 1.237 2.297
Sn 0.000 0.000 0.000
Y 5.745 2.254 2.297
```

Computed properties:
Total energy ... -77.62 eV per cell
Spin magnetization ... 0.00 μB per formula unit
SG ... P4/mbm



(8)
Density functional theory data (PBE) for a relaxed structure of RbTi3Re.

```
5
Lattice="4.976 0.000 0.000 0.000 4.976 0.000 0.000 0.000 4.976" Properties=species:S:1:pos:R:3 pbc="T T T"
Rb 2.488 2.488 2.488
Re 0.000 0.000 0.000
Ti 0.000 0.000 2.488
Ti 0.000 2.488 0.000
Ti 2.488 0.000 0.000
```

Computed properties:
Relative energy among the computed polymorphs ... 0.00 eV/f.u.
Spin magnetization ... 1.72 μB per formula unit
SG ... Pm-3m



(9)
Density functional theory data (PBE) for a relaxed structure of PmCuIrO6.

```
18
Lattice="-3.670 3.917 1.341 -0.237 -2.430 -4.965 -5.098 -5.838 3.101" Properties=species:S:1:pos:R:3 pbc="T T T"
Pm -6.349 -2.577 1.564
O -4.157 2.240 0.061
Pm -2.656 -1.774 -2.088
O -5.626 -2.810 -0.624
O -4.547 -4.671 -2.354
O -5.564 -0.044 -0.672
Ir -5.204 -4.693 -0.538
Ir -3.800 0.342 0.014
Cu -2.549 -2.919 1.550
O -7.022 -4.980 -1.126
O -1.982 0.628 0.602
Cu 0.000 0.000 0.000
O -5.744 -4.800 1.314
O -3.440 -4.308 0.149
O -3.379 -1.542 0.101
O -3.260 0.448 -1.838
O -4.458 0.319 1.830
O -4.847 -6.591 -0.585
```

Computed properties:
Raw formation energy ... -1.16 eV/atom
Spin magnetization ... 0.01 μB per formula unit
SG ... P-31c



(10)
Density functional theory data (PBE) for a relaxed structure of Ce2Co6C3.

```
11
Lattice="-1.557 -2.467 2.278 2.909 -4.792 -3.201 2.947 2.781 5.025" Properties=species:S:1:pos:R:3 pbc="T T T"
Co 3.630 -2.747 2.513
C 1.161 0.596 4.445
C 1.225 -1.921 1.763
Co 2.292 2.163 3.908
Ce 2.922 -2.268 -0.459
Co -0.050 -0.546 2.381
Ce 2.935 0.257 2.283
C 1.136 -4.386 -0.967
Co 2.262 -3.726 -2.489
Co 1.302 -0.447 0.406
Co -0.059 -2.418 0.348
```

Computed properties:
Total energy ... -82.39 eV per cell
Spin magnetization ... 0.00 μB per formula unit
SG ... P-62m



(11)
Density functional theory data (PBE) for a relaxed structure of MnRe.

```
8
Lattice="-3.049 0.935 -2.621 1.344 -3.891 0.299 -5.154 -1.357 5.512" Properties=species:S:1:pos:R:3 pbc="T T T"
Mn -3.865 -1.018 4.134
Re -2.323 -2.863 1.681
Re -0.495 -2.381 -0.274
Mn -2.873 -1.013 -0.270
Re -6.364 -1.932 3.464
Re -4.536 -1.451 1.509
Mn -1.288 -0.339 1.378
Mn -3.986 -3.300 3.460
```

Computed properties:
Total energy ... -84.56 eV per cell
Spin magnetization ... 0.46 μB per formula unit
SG ... P6_3/mmc



(12)
Density functional theory data (PBE) for a relaxed structure of ErTl2Au.

```
4
Lattice="-3.465 0.134 -0.522 -1.996 -2.781 0.760 -3.175 2.809 10.024" Properties=species:S:1:pos:R:3 pbc="T T T"
Au -4.318 0.081 5.131
Er 0.000 0.000 0.000
Tl -5.857 -1.567 3.148
Tl -2.779 1.729 7.115
```

Computed properties:
Relative energy among the computed polymorphs ... 1.63 eV/f.u.
Spin magnetization ... 0.00 μB per formula unit
SG ... R-3m



(13)
Density functional theory data (PBE) for a relaxed structure of Na2ZrZnCl.

```
5
Lattice="4.912 0.000 0.000 0.000 5.181 0.000 0.000 0.000 4.912" Properties=species:S:1:pos:R:3 pbc="T T T"
Na 2.456 0.000 0.000
Zn 2.456 2.590 2.456
Cl 0.000 0.000 0.000
Zr 0.000 2.590 0.000
Na 0.000 0.000 2.456
```

Computed properties:
Raw formation energy ... 0.05 eV/atom
Spin magnetization ... 1.61 μB per formula unit
SG ... P4/mmm



(14)
Density functional theory data (PBE) for a relaxed structure of NdDy5Ho8.

```
14
Lattice="8.027 0.000 -2.487 -4.134 6.692 -2.957 0.242 0.000 8.400" Properties=species:S:1:pos:R:3 pbc="T T T"
Dy 3.902 4.532 1.990
Ho 3.990 2.639 4.926
Dy -0.990 2.160 0.093
Nd 0.121 3.346 4.200
Dy 4.134 0.000 2.957
Ho 4.833 1.685 0.212
Dy 3.247 6.040 -3.249
Ho 1.759 1.742 1.956
Dy 2.110 0.651 7.080
Ho -2.371 5.007 1.548
Ho 1.817 4.053 -0.773
Ho 1.032 6.124 2.880
Ho 7.193 0.568 3.003
Ho -1.715 4.950 -1.924
```

Computed properties:
Total energy ... -60.94 eV per cell
Spin magnetization ... 0.00 μB per formula unit
SG ... I-4



(15)
Density functional theory data (PBE) for a relaxed structure of ErZr2Tl.

```
4
Lattice="-3.831 -3.202 -1.137 0.967 -4.365 -2.497 -0.397 -4.486 2.438" Properties=species:S:1:pos:R:3 pbc="T T T"
Tl -1.630 -6.027 -0.598
Zr -0.815 -3.013 -0.300
Zr -2.445 -9.041 -0.897
Er 0.000 0.000 0.000
```

Computed properties:
Relative energy among the computed polymorphs ... 1.03 eV/f.u.
Spin magnetization ... 0.00 μB per formula unit
SG ... Fm-3m



(16)
Density functional theory data (PBE) for a relaxed structure of HoTm2Hg8.

```
11
Lattice="-0.873 -0.336 -4.793 -5.275 -4.749 1.294 -2.638 7.504 2.443" Properties=species:S:1:pos:R:3 pbc="T T T"
Hg -3.450 -0.898 -1.796
Hg -1.913 1.280 0.259
Hg -2.510 4.328 0.154
Hg -4.062 -2.992 0.950
Hg -6.873 1.138 -1.316
Hg -4.723 5.411 -2.007
Ho -0.437 -0.168 -2.397
Tm -4.797 0.076 0.869
Hg -5.335 3.317 0.740
Tm -3.989 2.342 -1.925
Hg -6.276 -1.910 -1.211
```

Computed properties:
Total energy ... -19.11 eV per cell
Spin magnetization ... 0.00 μB per formula unit
SG ... C2/m



(17)
Density functional theory data (PBE) for a relaxed structure of Cu3Sn2Au8.

```
13
Lattice="-2.687 0.909 -2.675 -4.910 -5.934 2.915 -0.832 8.065 3.577" Properties=species:S:1:pos:R:3 pbc="T T T"
Au -5.362 5.049 1.419
Au -4.929 0.844 5.238
Au -3.499 2.197 -1.421
Au -5.773 -2.774 2.015
Au -5.065 2.880 3.226
Sn -5.392 -0.035 2.563
Cu -4.629 3.469 5.829
Au -2.655 5.815 1.802
Au -3.067 -2.008 2.397
Au -3.363 0.160 0.591
Sn -3.036 3.075 1.254
Cu -1.343 0.455 -1.337
Cu -1.113 -1.338 0.663
```

Computed properties:
Total energy ... -46.63 eV per cell
Spin magnetization ... 0.00 μB per formula unit
SG ... P2/m



(18)
Density functional theory data (PBE) for a relaxed structure of Ce6TmS12.

```
19
Lattice="7.943 -0.469 -0.932 -0.992 7.894 -0.932 -0.439 -0.469 7.985" Properties=species:S:1:pos:R:3 pbc="T T T"
S 5.869 2.652 3.370
S 6.727 4.887 -1.086
S -0.216 2.070 7.207
S 4.920 -0.344 6.782
Ce 0.502 2.014 4.538
S 0.642 4.305 2.750
Ce 4.651 0.633 1.692
Ce 1.709 4.683 0.220
S -0.810 7.035 4.491
S 3.503 6.031 2.045
S 7.322 -0.079 1.629
S 3.008 0.925 4.075
S 4.112 3.063 0.471
Ce 1.860 6.323 4.428
Ce 6.010 4.942 1.583
Tm 0.000 0.000 0.000
S 2.400 3.894 5.649
S 1.591 7.300 -0.661
Ce 4.803 2.274 5.901
```

Computed properties:
Raw formation energy ... -1.93 eV/atom
Spin magnetization ... 3.13 μB per formula unit
SG ... R-3



(19)
Density functional theory data (PBE) for a relaxed structure of SrTi2V.

```
8
Lattice="-2.653 -6.450 -0.359 6.319 -2.511 -1.591 2.784 -5.140 3.842" Properties=species:S:1:pos:R:3 pbc="T T T"
Ti 5.042 -7.843 1.753
Ti 3.650 -5.273 -0.168
Ti 0.491 -4.017 0.627
Sr 0.000 0.000 0.000
Sr 0.982 -8.035 1.254
V 1.833 -4.480 -0.975
V 5.468 -6.066 0.638
Ti 3.715 -11.068 1.573
```

Computed properties:
Relative energy among the computed polymorphs ... 0.83 eV/f.u.
Spin magnetization ... 0.00 μB per formula unit
SG ... I4_1/amd



(20)
Density functional theory data (PBE) for a relaxed structure of TiInRh2.

```
4
Lattice="3.105 0.000 0.000 0.000 3.105 0.000 0.000 0.000 6.665" Properties=species:S:1:pos:R:3 pbc="T T T"
In 1.552 1.552 3.333
Ti 1.552 1.552 0.000
Rh 0.000 0.000 5.186
Rh 0.000 0.000 1.479
```

Computed properties:
Total energy ... -27.97 eV per cell
Spin magnetization ... 0.00 μB per formula unit
SG ... P4/mmm



(21)
Density functional theory data (PBE) for a relaxed structure of NaCaGa2.

```
8
Lattice="8.164 0.000 0.000 0.000 8.164 0.000 4.082 4.082 3.156" Properties=species:S:1:pos:R:3 pbc="T T T"
Ga 2.149 6.123 0.789
Na 4.082 4.082 0.000
Ca 0.000 0.000 0.000
Ca 8.164 4.082 1.578
Na 4.082 8.164 1.578
Ga 10.205 10.096 2.367
Ga 6.015 2.041 0.789
Ga 6.123 6.231 2.367
```

Computed properties:
Total energy ... -18.46 eV per cell
Spin magnetization ... 0.00 μB per formula unit
SG ... I-42d



(22)
Density functional theory data (PBE) for a relaxed structure of Pa2ZnGa3.

```
12
Lattice="-3.053 4.930 0.269 -3.871 -1.757 -3.952 -0.679 -4.442 7.166" Properties=species:S:1:pos:R:3 pbc="T T T"
Ga -6.212 -0.310 1.696
Pa -3.597 1.037 2.797
Ga -1.390 -0.959 1.788
Pa -4.006 -2.306 0.686
Zn -4.841 0.636 -0.069
Pa -3.667 -0.092 -2.901
Ga -1.730 -3.163 5.345
Pa -3.256 3.265 -0.782
Ga -2.439 0.321 -0.035
Zn -2.762 -1.905 3.552
Ga -5.163 -1.590 3.519
Ga -5.873 1.894 -1.862
```

Computed properties:
Relative energy among the computed polymorphs ... 0.00 eV/f.u.
Spin magnetization ... 0.01 μB per formula unit
SG ... Fmmm